Record 1
# TbCeAlIn

TbCeAlIn after structural relaxation (PBE-GGA, the Alexandria database).

DFT formation energy ... -33.3 kJ per mole of atoms
Crystal system ... cubic
ρ ... 6.99 g cm⁻³

```
16
Lattice="7.482 0.000 0.000 0.000 7.482 0.000 0.000 0.000 7.482" Properties=species:S:1:pos:R:3 pbc="T T T"
Tb 0.000 0.000 0.000
Tb 0.000 3.741 3.741
Tb 3.741 0.000 3.741
Tb 3.741 3.741 0.000
Ce 0.000 0.000 3.741
Ce 0.000 3.741 0.000
Ce 3.741 0.000 0.000
Ce 3.741 3.741 3.741
Al 1.871 1.871 5.612
Al 1.871 5.612 1.871
Al 5.612 1.871 1.871
Al 5.612 5.612 5.612
In 1.871 1.871 1.871
In 1.871 5.612 5.612
In 5.612 1.871 5.612
In 5.612 5.612 1.871
```

***

Record 2
# BeZnPb

BeZnPb after structural relaxation (PBE-GGA, the Alexandria database).

DFT formation energy ... 24.3 kJ per mole of atoms
Crystal system ... triclinic
ρ ... 8.01 g cm⁻³

```
6
Lattice="3.362 0.000 0.000 -1.656 3.715 0.000 -0.573 -1.116 9.346" Properties=species:S:1:pos:R:3 pbc="T T T"
Be 0.000 0.000 0.000
Be -0.558 1.112 8.756
Zn 1.112 -0.443 7.729
Zn 1.701 1.522 0.941
Pb -0.527 1.075 5.772
Pb 0.071 3.094 2.845
```

***

Which of these has the lowest DFT formation energy?
TbCeAlIn

***

Which of these has the highest ρ?
BeZnPb

***

The highest ρ belongs to which entry?
BeZnPb